No. 1
MoPb2 (PBE-GGA, optimized geometry); space-group type = Fd-3m (227); energy above the most stable polymorph in this dataset = 0.3782 eV/atom; crystal system = cubic
1.0
4.9108 6.5028 2.5094
6.7745 2.2696 -4.6535
-0.0807 7.3308 -4.3535
Pb Mo
4 2
direct
0.8750 0.3750 0.3750 Pb
0.3750 0.3750 0.3750 Pb
0.3750 0.3750 0.8750 Pb
0.3750 0.8750 0.3750 Pb
0.2500 0.2500 0.2500 Mo
0.5000 0.5000 0.5000 Mo



No. 2
GdYB4 (PBE-GGA, optimized geometry); space-group type = P6/mmm (191); crystal system = hexagonal; E_tot = -6.832 eV per atom
1.0
3.3051 0.0000 0.0000
-1.6526 2.8623 0.0000
0.0000 0.0000 7.7907
Y B Gd
1 4 1
direct
0.0000 0.0000 0.5000 Y
0.3333 0.6667 0.2531 B
0.3333 0.6667 0.7469 B
0.6667 0.3333 0.7469 B
0.6667 0.3333 0.2531 B
0.0000 0.0000 0.0000 Gd



No. 3
LuFeSiAg (PBE-GGA, optimized geometry); space-group type = F-43m (216); energy above the most stable polymorph in this dataset = 0.0000 eV/atom; crystal system = cubic
1.0
0.0000 3.2512 3.2512
3.2512 0.0000 3.2512
3.2512 3.2512 0.0000
Fe Lu Ag Si
1 1 1 1
direct
0.7500 0.7500 0.7500 Fe
0.2500 0.2500 0.2500 Lu
0.5000 0.5000 0.5000 Ag
0.0000 0.0000 0.0000 Si



No. 4
YHoGeBr2 (PBE-GGA, optimized geometry); space-group type = P3m1 (156); crystal system = trigonal; E_tot = -5.257 eV per atom
1.0
4.1299 0.0000 0.0000
-2.0649 3.5766 0.0000
0.0000 0.0000 10.1111
Ge Br Ho Y
1 2 1 1
direct
0.0000 0.0000 0.4986 Ge
0.3333 0.6667 0.1693 Br
0.6667 0.3333 0.8323 Br
0.6667 0.3333 0.3423 Ho
0.3333 0.6667 0.6575 Y



No. 5
Y3Al7Pd2 (PBE-GGA, optimized geometry); space-group type = R-3m (166); crystal system = trigonal; E_tot = -5.368 eV per atom
1.0
2.8960 0.7678 8.7278
4.6731 5.2195 6.0058
-0.5463 4.9631 7.7602
Al Y Pd
7 3 2
direct
0.9270 0.4170 0.4170 Al
0.5000 0.5000 0.5000 Al
0.0730 0.5830 0.5830 Al
0.5830 0.5830 0.0730 Al
0.4170 0.9270 0.4170 Al
0.4170 0.4170 0.9270 Al
0.5830 0.0730 0.5830 Al
0.1437 0.1437 0.1437 Y
0.0000 0.0000 0.0000 Y
0.8563 0.8563 0.8563 Y
0.3357 0.3357 0.3357 Pd
0.6643 0.6643 0.6643 Pd



No. 6
AlFeCoSe4 (PBE-GGA, optimized geometry); space-group type = P4_122 (91); energy above the most stable polymorph in this dataset = 0.0632 eV/atom; crystal system = tetragonal
1.0
-5.5539 0.1912 4.5752
0.2782 -7.1646 0.6371
6.4570 0.9442 7.7989
Co Se Al Fe
4 16 4 4
direct
0.5000 0.7491 0.5000 Co
0.7491 0.5000 0.2500 Co
0.5000 0.2509 0.0000 Co
0.2509 0.5000 0.7500 Co
0.4719 0.7511 0.7358 Se
0.2489 0.5281 0.5142 Se
0.4719 0.2489 0.7642 Se
0.9704 0.2488 0.2356 Se
0.0296 0.7512 0.7356 Se
0.9704 0.7512 0.2644 Se
0.7511 0.4719 0.0142 Se
0.7512 0.9704 0.4856 Se
0.7511 0.5281 0.4858 Se
0.0296 0.2488 0.7644 Se
0.7512 0.0296 0.0144 Se
0.5281 0.2489 0.2358 Se
0.5281 0.7511 0.2642 Se
0.2489 0.4719 0.9858 Se
0.2488 0.0296 0.9856 Se
0.2488 0.9704 0.5144 Se
0.7516 0.2484 0.6250 Al
0.7516 0.7516 0.8750 Al
0.2484 0.7516 0.1250 Al
0.2484 0.2484 0.3750 Al
0.7477 0.0000 0.2500 Fe
0.0000 0.2523 0.0000 Fe
0.0000 0.7477 0.5000 Fe
0.2523 0.0000 0.7500 Fe



> Which formula does entry 6 have?

AlFeCoSe4